Record 1
DFT (PBE) results for crystalline AgAsF4 at its relaxed geometry.

## Properties
Energy (Ha/atom): -0.1464
Formation energy from raw total energies (eV per formula unit): -8.9
Offset from the most stable computed form (meV/atom): 206.8
Crystal system: monoclinic

a = 6.888 Å, b = 10.915 Å, c = 2.766 Å
α = 90.00°, β = 112.30°, γ = 90.00°
Space group C2/m (No. 12)
Asymmetric unit:
Ag  0.000  0.000  0.000 [2 per cell]
As  0.000  0.500  0.000 [2 per cell]
F  0.214  0.382  0.201 [8 per cell]

---

Record 2
DFT (PBE) results for crystalline Sc2BeZn at its relaxed geometry.

## Properties
Energy (Ha/atom): -0.1658
Offset from the most stable computed form (meV/atom): 114.7
Crystal system: orthorhombic

a = 3.177 Å, b = 4.570 Å, c = 9.598 Å
α = 90.00°, β = 90.00°, γ = 90.00°
Space group Imm2 (No. 44)
Asymmetric unit:
Sc  0.000  0.000  0.000 [2 per cell]
Sc  0.000  0.500  0.215 [2 per cell]
Be  0.000  0.000  0.459 [2 per cell]
Zn  0.000  0.500  0.780 [2 per cell]

---

Record 3
DFT (PBE) results for crystalline Na2Tl8Pd at its relaxed geometry.

## Properties
Energy (Ha/atom): -0.0926
Crystal system: tetragonal

a = 4.901 Å, b = 4.901 Å, c = 12.769 Å
α = 90.00°, β = 90.00°, γ = 90.00°
Space group P4/mmm (No. 123)
Asymmetric unit:
Na  0.000  0.000  0.190 [2 per cell]
Tl  0.000  0.500  0.000 [2 per cell]
Tl  0.000  0.500  0.374 [4 per cell]
Tl  0.500  0.500  0.184 [2 per cell]
Pd  0.000  0.000  0.500 [1 per cell]

---

Record 4
DFT (PBE) results for crystalline V2CoIr9 at its relaxed geometry.

## Properties
Energy (Ha/atom): -0.3331
Crystal system: tetragonal

a = 3.828 Å, b = 3.828 Å, c = 11.489 Å
α = 90.00°, β = 90.00°, γ = 90.00°
Space group P4/mmm (No. 123)
Asymmetric unit:
V  0.000  0.000  0.171 [2 per cell]
Co  0.000  0.000  0.500 [1 per cell]
Ir  0.000  0.500  0.000 [2 per cell]
Ir  0.000  0.500  0.332 [4 per cell]
Ir  0.500  0.500  0.167 [2 per cell]
Ir  0.500  0.500  0.500 [1 per cell]

---

Record 5
DFT (PBE) results for crystalline CdSb2Rh2 at its relaxed geometry.

## Properties
Energy (Ha/atom): -0.1810
Formation energy from raw total energies (eV per formula unit): -0.8
Offset from the most stable computed form (meV/atom): 37.4
Crystal system: tetragonal

a = 4.032 Å, b = 4.032 Å, c = 14.902 Å
α = 90.00°, β = 90.00°, γ = 90.00°
Space group I4/mmm (No. 139)
Asymmetric unit:
Cd  0.000  0.000  0.000 [2 per cell]
Sb  0.000  0.000  0.362 [4 per cell]
Rh  0.000  0.500  0.250 [4 per cell]

---

Record 6
DFT (PBE) results for crystalline BeVCu2Pb at its relaxed geometry.

## Properties
Energy (Ha/atom): -0.1659
Crystal system: tetragonal

a = 4.144 Å, b = 4.144 Å, c = 4.381 Å
α = 90.00°, β = 90.00°, γ = 90.00°
Space group P4/mmm (No. 123)
Asymmetric unit:
Be  0.000  0.000  0.000 [1 per cell]
V  0.000  0.000  0.500 [1 per cell]
Cu  0.000  0.500  0.000 [2 per cell]
Pb  0.500  0.500  0.500 [1 per cell]

---

Record 7
DFT (PBE) results for crystalline PmAl2Au10 at its relaxed geometry.

## Properties
Energy (Ha/atom): -0.1400
Crystal system: orthorhombic

a = 5.608 Å, b = 13.027 Å, c = 13.610 Å
α = 90.00°, β = 90.00°, γ = 90.00°
Space group Fmmm (No. 69)
Asymmetric unit:
Pm  0.000  0.000  0.000 [4 per cell]
Al  0.250  0.000  0.250 [8 per cell]
Au  0.000  0.106  0.386 [16 per cell]
Au  0.000  0.157  0.173 [16 per cell]
Au  0.250  0.250  0.000 [8 per cell]

---

Record 8
DFT (PBE) results for crystalline Nd6Sm2Er3 at its relaxed geometry.

## Properties
Energy (Ha/atom): -0.1622
Offset from the most stable computed form (meV/atom): 274.5
Crystal system: tetragonal

a = 4.780 Å, b = 4.780 Å, c = 34.103 Å
α = 90.00°, β = 90.00°, γ = 90.00°
Space group I4/mmm (No. 139)
Asymmetric unit:
Nd  0.000  0.000  0.204 [4 per cell]
Nd  0.000  0.500  0.121 [8 per cell]
Sm  0.000  0.000  0.045 [4 per cell]
Er  0.000  0.000  0.305 [4 per cell]
Er  0.000  0.000  0.500 [2 per cell]

---

Q: Look up the energy of the fifth one.
A: -0.1810 Ha/atom

---

Q: The lowest energy belongs to which entry?
A: V2CoIr9

---

Q: The highest energy belongs to which entry?
A: Na2Tl8Pd

---

Q: What is the formula in the eighth record?
A: Nd6Sm2Er3